TbDyZrAl: optimized geometry, PBE.

Values from the calculation:
**V**: 97.8 Å³/f.u.
**M_tot**: 0.01 μB per formula unit
**DFT formation energy**: 0.6 kJ/mol of atoms

a = 7.314 Å, b = 7.314 Å, c = 7.314 Å
α = 90.00°, β = 90.00°, γ = 90.00°
Space group F-43m (No. 216)
Symmetry-distinct sites (fractional):
Tb  0.000  0.000  0.000 [4 per cell]
Dy  0.250  0.250  0.250 [4 per cell]
Zr  0.250  0.250  0.750 [4 per cell]
Al  0.000  0.000  0.500 [4 per cell]

---

Dy8Al2Tc: optimized geometry, PBE.

Values from the calculation:
**V**: 293.9 Å³/f.u.
**M_tot**: 0.00 μB per formula unit
**DFT formation energy**: -15.4 kJ/mol of atoms

a = 17.130 Å, b = 5.329 Å, c = 6.925 Å
α = 90.00°, β = 111.59°, γ = 90.00°
Space group C2/m (No. 12)
Symmetry-distinct sites (fractional):
Dy  0.013  0.000  0.274 [4 per cell]
Dy  0.105  0.500  0.913 [4 per cell]
Dy  0.148  0.500  0.424 [4 per cell]
Dy  0.196  0.000  0.756 [4 per cell]
Al  0.183  0.000  0.187 [4 per cell]
Tc  0.000  0.500  0.500 [2 per cell]

---

Dy2Al5Tc: optimized geometry, PBE.

Values from the calculation:
**V**: 151.6 Å³/f.u.
**M_tot**: 0.00 μB per formula unit
**DFT formation energy**: -26.0 kJ/mol of atoms

a = 6.412 Å, b = 6.412 Å, c = 7.373 Å
α = 90.00°, β = 90.00°, γ = 90.00°
Space group I4mm (No. 107)
Symmetry-distinct sites (fractional):
Dy  0.000  0.500  0.000 [4 per cell]
Al  0.000  0.000  0.461 [2 per cell]
Al  0.213  0.213  0.750 [8 per cell]
Tc  0.000  0.000  0.111 [2 per cell]

---

DyAl3Tc: optimized geometry, PBE.

Values from the calculation:
**V**: 103.7 Å³/f.u.
**M_tot**: 0.00 μB per formula unit
**DFT formation energy**: -25.0 kJ/mol of atoms

a = 5.827 Å, b = 9.393 Å, c = 7.580 Å
α = 90.00°, β = 90.00°, γ = 90.00°
Space group Pnma (No. 62)
Symmetry-distinct sites (fractional):
Dy  0.000  0.250  0.106 [4 per cell]
Al  0.000  0.250  0.554 [4 per cell]
Al  0.250  0.042  0.750 [8 per cell]
Tc  0.000  0.000  0.500 [4 per cell]

---

Dy6AlTc2: optimized geometry, PBE.

Values from the calculation:
**V**: 231.2 Å³/f.u.
**M_tot**: 0.00 μB per formula unit
**DFT formation energy**: -16.0 kJ/mol of atoms

a = 9.383 Å, b = 9.456 Å, c = 10.423 Å
α = 90.00°, β = 90.00°, γ = 90.00°
Space group Immm (No. 71)
Symmetry-distinct sites (fractional):
Dy  0.000  0.187  0.168 [8 per cell]
Dy  0.186  0.223  0.500 [8 per cell]
Dy  0.198  0.500  0.253 [8 per cell]
Al  0.000  0.500  0.000 [2 per cell]
Al  0.000  0.500  0.500 [2 per cell]
Tc  0.000  0.000  0.386 [4 per cell]
Tc  0.186  0.000  0.000 [4 per cell]

---

DyThAlTc: optimized geometry, PBE.

Values from the calculation:
**V**: 92.0 Å³/f.u.
**M_tot**: 0.00 μB per formula unit
**DFT formation energy**: -13.6 kJ/mol of atoms

a = 7.167 Å, b = 7.167 Å, c = 7.167 Å
α = 90.00°, β = 90.00°, γ = 90.00°
Space group F-43m (No. 216)
Symmetry-distinct sites (fractional):
Dy  0.000  0.000  0.000 [4 per cell]
Th  0.000  0.000  0.500 [4 per cell]
Al  0.250  0.250  0.750 [4 per cell]
Tc  0.250  0.250  0.250 [4 per cell]

---

- Look up the DFT formation energy of the sixth one.
  -13.6 kJ/mol of atoms